An optimized crystal structure of CrPO5, computed with PBE+U.

abc: 7.1381 7.0878 7.8289
angles: 90.00 101.98 90.00
With the nearest neighbours (Å) after each atom.
Space group Cc (No. 9)
Unique sites:
1 Cr 0.0000 0.2103 0.0000  1 O 1.57
2 P 0.2090 0.4555 0.7217  4 O 1.53-1.56
3 O 0.0262 0.4291 0.1412  1 P 1.56
4 O 0.1382 0.0603 0.1068  1 Cr 1.57
5 O 0.1624 0.3297 0.8660  1 P 1.53
6 O 0.2705 0.3320 0.5798  1 P 1.55
7 O 0.3766 0.4050 0.2893  1 P 1.56

## Properties
Final energy: -7.080 eV per atom